1.
First-principles (PBE) data for a relaxed ErZnPd3 crystal, as listed in Alexandria.

Results
- DOS at the Fermi energy (states/eV/atom) = 0.381
- magnetization (μB per formula unit) = 0.00
- total energy (eV for the cell shown) = -96.9
- E_form (eV/atom) = -0.561
- space-group type = Pnma

a = 5.8656 Å, b = 8.1595 Å, c = 7.6325 Å
α = 90.00°, β = 90.00°, γ = 90.00°
With the nearest neighbours (Å) after each atom.
Fractional positions:
Er  0.1262  0.2500  0.0068  8 Pd 2.75-3.06, 2 Zn 3.00
Er  0.3738  0.7500  0.5068  8 Pd 2.75-3.06, 2 Zn 3.00
Er  0.6262  0.2500  0.4932  8 Pd 2.75-3.06, 2 Zn 3.00
Er  0.8738  0.7500  0.9932  8 Pd 2.75-3.06, 2 Zn 3.00
Zn  0.0000  0.0000  0.5000  6 Pd 2.51-2.53
Zn  0.0000  0.5000  0.5000  6 Pd 2.51-2.53
Zn  0.5000  0.0000  0.0000  6 Pd 2.51-2.53
Zn  0.5000  0.5000  0.0000  6 Pd 2.51-2.53
Pd  0.1842  0.2500  0.3718  2 Zn 2.51, 2 Er 2.75-2.81
Pd  0.1836  0.5712  0.2098  2 Zn 2.52-2.53
Pd  0.1836  0.9288  0.2098  2 Zn 2.52-2.53
Pd  0.3164  0.0712  0.7098  2 Zn 2.52-2.53
Pd  0.3164  0.4288  0.7098  2 Zn 2.52-2.53
Pd  0.3158  0.7500  0.8718  2 Zn 2.51, 2 Er 2.75-2.81
Pd  0.6842  0.2500  0.1282  2 Zn 2.51, 2 Er 2.75-2.81
Pd  0.6836  0.5712  0.2902  2 Zn 2.52-2.53
Pd  0.6836  0.9288  0.2902  2 Zn 2.52-2.53
Pd  0.8164  0.0712  0.7902  2 Zn 2.52-2.53
Pd  0.8164  0.4288  0.7902  2 Zn 2.52-2.53
Pd  0.8158  0.7500  0.6282  2 Zn 2.51, 2 Er 2.75-2.81


2.
First-principles (PBE) data for a relaxed LaVPS2 crystal, as listed in Alexandria.

Results
- uncorrected formation energy (eV/f.u.) = 2.3
- DOS at the Fermi energy (states/eV/atom) = 1.471
- magnetization (μB per formula unit) = 1.53
- total energy (eV for the cell shown) = -25.4
- space-group type = P4/mmm
- ΔE to the lowest computed polymorph (meV per atom) = 1501.8

a = 5.4238 Å, b = 5.4238 Å, c = 5.4653 Å
α = 90.00°, β = 90.00°, γ = 90.00°
With the nearest neighbours (Å) after each atom.
Fractional positions:
La  0.0000  0.0000  0.0000  4 S 2.71, 2 P 2.73
V  0.5000  0.5000  0.5000  4 P 3.84, 8 S 3.85
P  0.0000  0.0000  0.5000  2 La 2.73
S  0.0000  0.5000  0.0000  2 La 2.71
S  0.5000  0.0000  0.0000  2 La 2.71